(1)
{
  "formula": "InBPtBr2",
  "functional": "PBE-GGA",
  "state": "optimized geometry",
  "energy_ry_per_atom": -0.2666,
  "space_group": "No. 123",
  "raw_formation_energy_ev_per_atom": 0.13,
  "lattice": [[5.5758, 0.0000, 0.0000], [0.0000, 5.5758, 0.0000], [0.0000, 0.0000, 4.0499]],
  "species": ["In", "B", "Pt", "Br", "Br"],
  "frac_coords": [[0.0000, 0.0000, 0.0000], [0.5000, 0.5000, 0.0000], [0.5000, 0.5000, 0.5000], [0.0000, 0.5000, 0.5000], [0.5000, 0.0000, 0.5000]]
}


(2)
{
  "formula": "ZnOsW2",
  "functional": "PBE-GGA",
  "state": "optimized geometry",
  "formation_enthalpy_0k_ev_per_atom": 0.279,
  "energy_ry_per_atom": -0.6853,
  "space_group": "No. 99",
  "lattice": [[3.2160, 0.0000, 0.0000], [0.0000, 3.2160, 0.0000], [0.0000, 0.0000, 5.8687]],
  "species": ["Zn", "Os", "W", "W"],
  "frac_coords": [[0.0000, 0.0000, 0.0000], [0.5000, 0.5000, 0.2344], [0.0000, 0.0000, 0.4974], [0.5000, 0.5000, 0.7511]]
}


(3)
{
  "formula": "CaReSb2",
  "functional": "PBE-GGA",
  "state": "optimized geometry",
  "energy_ry_per_atom": -0.4190,
  "space_group": "No. 12",
  "raw_formation_energy_ev_per_atom": -0.03,
  "lattice": [[8.1819, 0.0000, 0.0000], [0.0000, 3.5408, 0.0000], [-1.4474, 0.0000, 6.6037]],
  "species": ["Ca", "Ca", "Re", "Re", "Sb", "Sb", "Sb", "Sb"],
  "frac_coords": [[0.0000, 0.0000, 0.0000], [0.5000, 0.5000, 0.0000], [0.0000, 0.5000, 0.5000], [0.5000, 0.0000, 0.5000], [0.2347, 0.0000, 0.6963], [0.2653, 0.5000, 0.3037], [0.7347, 0.5000, 0.6963], [0.7653, 0.0000, 0.3037]]
}


no.,total magnetization (μB per atom)
1,0.000
2,0.000
3,0.000